Computed, not measured: an optimized crystal structure of Ba3AlW at the PBEsol level of DFT.

Geometry as extended XYZ:
```
5
Lattice="-2.9318 -4.7722 2.8276 2.5089 -3.9933 -4.1381 4.9472 -0.8029 3.7743" Properties=species:S:1:pos:R:3 pbc="T T T"
Ba 1.2545 -1.9966 -2.0691
Ba 2.4736 -0.4015 1.8872
Ba -1.4659 -2.3861 1.4138
W 2.2622 -4.7842 1.2319
Al 0.0000 0.0000 0.0000
```

Values from the calculation:
The calculation puts the formation enthalpy at 0 K at 1.473 eV/atom.

---

Computed, not measured: an optimized crystal structure of BaY2AlW at the PBEsol level of DFT.

Geometry as extended XYZ:
```
5
Lattice="5.0056 0.0000 0.0000 0.0000 5.4460 0.0000 0.0000 0.0000 5.4460" Properties=species:S:1:pos:R:3 pbc="T T T"
Y 0.0000 0.0000 2.7230
Y 0.0000 2.7230 0.0000
Ba 0.0000 0.0000 0.0000
W 2.5028 0.0000 0.0000
Al 2.5028 2.7230 2.7230
```

Values from the calculation:
The calculation puts the formation enthalpy at 0 K at 1.934 eV/atom.

---

Computed, not measured: an optimized crystal structure of Ba2YAl at the PBEsol level of DFT.

Geometry as extended XYZ:
```
4
Lattice="3.8819 0.0000 0.0000 1.9410 3.3619 0.0000 1.9410 1.1206 11.7240" Properties=species:S:1:pos:R:3 pbc="T T T"
Y 3.8819 2.2412 5.2497
Ba 5.8229 3.3619 0.6435
Ba 5.8229 3.3619 8.5213
Al 1.9410 1.1206 3.1715
```

Values from the calculation:
The calculation puts the formation enthalpy at 0 K at 0.119 eV/atom.